Density functional theory data (PBE+U) for a geometry-optimized SrP2WO structure.

Computed properties:
distance to the lowest polymorph of the same formula	181.7	kJ/mol of atoms

Cell lengths 5.4091, 5.4091, 4.2992 Å; angles 90.00, 90.00, 90.00 degrees
Closest atoms and distances in Å follow each position.
Fractional coordinates of all 5 atoms:
W: 0.5000 0.5000 0.5000  8 P 3.45, 4 O 3.82
Sr: 0.0000 0.0000 0.0000  2 O 2.15
O: 0.0000 0.0000 0.5000  2 Sr 2.15
P: 0.5000 0.0000 0.0000  2 Sr 2.70
P: 0.0000 0.5000 0.0000  2 Sr 2.70